Entry 1:
VASP calculation (PBE) on crystalline DyPaSb2N at its relaxed geometry.

Cell and atoms, written as POSCAR:
```
DyPaSb2N
1.0
4.1116 0.0000 0.0000
0.0000 4.1116 0.0000
0.0000 0.0000 14.2082
Dy Pa Sb N
2 2 4 2
Direct
0.2500 0.2500 0.0874 Dy
0.7500 0.7500 0.9126 Dy
0.2500 0.2500 0.5775 Pa
0.7500 0.7500 0.4225 Pa
0.2500 0.2500 0.3041 Sb
0.2500 0.2500 0.8601 Sb
0.7500 0.7500 0.1399 Sb
0.7500 0.7500 0.6959 Sb
0.2500 0.7500 0.5000 N
0.7500 0.2500 0.5000 N
```

## Properties
Density in g cm⁻³: 9.0
Formation energy from raw total energies in meV per atom: -1025

***

Entry 2:
VASP calculation (PBE) on crystalline DyScPa2N4 at its relaxed geometry.

Cell and atoms, written as POSCAR:
```
DyScPa2N4
1.0
5.9277 0.0000 0.0000
0.0000 3.4196 0.0000
-1.9733 0.0000 5.6231
Dy Sc Pa N
1 1 2 4
Direct
0.0000 0.0000 0.0000 Dy
0.5000 0.5000 0.0000 Sc
0.0000 0.5000 0.5000 Pa
0.5000 0.0000 0.5000 Pa
0.2600 0.5000 0.2493 N
0.2608 0.0000 0.7556 N
0.7392 0.0000 0.2444 N
0.7400 0.5000 0.7507 N
```

## Properties
Density in g cm⁻³: 10.6
Formation energy from raw total energies in meV per atom: -1664

***

Entry 3:
VASP calculation (PBE) on crystalline DyPaSe2N at its relaxed geometry.

Cell and atoms, written as POSCAR:
```
DyPaSe2N
1.0
3.9396 0.0000 0.0000
0.0000 3.9396 0.0000
0.0000 0.0000 13.9360
Dy Pa Se N
2 2 4 2
Direct
0.2500 0.2500 0.0987 Dy
0.7500 0.7500 0.9013 Dy
0.2500 0.2500 0.5853 Pa
0.7500 0.7500 0.4147 Pa
0.2500 0.2500 0.3088 Se
0.2500 0.2500 0.8874 Se
0.7500 0.7500 0.1126 Se
0.7500 0.7500 0.6912 Se
0.2500 0.7500 0.5000 N
0.7500 0.2500 0.5000 N
```

## Properties
Density in g cm⁻³: 8.7
Formation energy from raw total energies in meV per atom: -1801

***

Entry 4:
VASP calculation (PBE) on crystalline DyPa2SiN6 at its relaxed geometry.

Cell and atoms, written as POSCAR:
```
DyPa2SiN6
1.0
5.2243 0.0000 0.0000
0.0000 5.2243 0.0000
0.0000 0.0000 5.1497
Dy Pa Si N
1 2 1 6
Direct
0.0000 0.0000 0.0000 Dy
0.0000 0.5000 0.4424 Pa
0.5000 0.0000 0.4424 Pa
0.5000 0.5000 0.0502 Si
0.0000 0.0000 0.5660 N
0.2698 0.2698 0.1908 N
0.2698 0.7302 0.1908 N
0.5000 0.5000 0.7033 N
0.7302 0.2698 0.1908 N
0.7302 0.7302 0.1908 N
```

## Properties
Density in g cm⁻³: 8.7
Formation energy from raw total energies in meV per atom: -993

***

What is the density in the fourth record?
8.7 g cm⁻³

***

What is the formation energy from raw total energies in the third record?
-1801 meV per atom

***

What is the density in the first record?
9.0 g cm⁻³

***

Which of these has the lowest formation energy from raw total energies?
DyPaSe2N